DFT (PBE-GGA) results for an optimized crystal structure of NbPtRh3.

As for the space-group type: Pnma, No. 62. The calculation puts the formation energy at -0.53 eV/f.u. As for the distance to the lowest polymorph of the same formula: 0.0 meV per atom. The value obtained for the size of the total moment is 0.000 μB/atom.

Structure (POSCAR):
```
NbPtRh3
1.0
6.452 0.000 0.000
0.000 6.956 0.000
0.000 0.000 7.178
Rh Nb Pt
12 4 4
Cartesian
0.842 5.949 3.935 Rh
0.947 1.412 5.383 Rh
4.173 2.066 5.383 Rh
2.384 2.471 3.243 Rh
0.842 5.949 6.832 Rh
5.610 1.007 3.243 Rh
2.384 2.471 0.346 Rh
5.610 1.007 0.346 Rh
5.505 5.544 1.794 Rh
4.068 4.485 6.832 Rh
2.279 4.890 1.794 Rh
4.068 4.485 3.935 Rh
3.226 0.000 0.000 Nb
3.226 0.000 3.589 Nb
0.000 3.478 3.589 Nb
0.000 3.478 0.000 Nb
1.882 3.970 5.383 Pt
1.344 0.492 1.794 Pt
4.570 2.985 1.794 Pt
5.108 6.463 5.383 Pt
```